NaPr2ThSe4: relaxed, GGA-PBE.

Cell and atoms, written as POSCAR:
```
NaPr2ThSe4
1.0
7.3236 0.0000 0.0000
0.0000 4.2212 0.0000
-2.3968 0.0000 6.9588
Na Pr Th Se
1 2 1 4
Cartesian
0.0000 0.0000 0.0000 Na
2.4634 0.0000 3.4794 Pr
3.6618 2.1106 0.0000 Pr
-1.1984 2.1106 3.4794 Th
-0.0337 0.0000 5.2299 Se
1.1871 2.1106 1.7332 Se
3.7397 2.1106 5.2256 Se
4.9605 0.0000 1.7290 Se
```

Properties
The total energy comes out at -45.67 eV per cell. As for the space group: P2/m. Its density of states at the Fermi level is 4.65 states/eV/f.u. The calculated density is 6.582 g/cm3. The calculation puts the raw formation energy at -1.679 eV/atom.